# LiAlCd2 PBE-GGA optimized geometry
data_LiAlCd2
_symmetry_space_group_name_H-M 'P 1'
_symmetry_Int_Tables_number 1
_symmetry_space_group_name_Hall 'P 1'
_cell_length_a 4.237
_cell_length_b 4.237
_cell_length_c 10.168
_cell_angle_alpha 77.98
_cell_angle_beta 77.98
_cell_angle_gamma 90.00
loop_
_atom_site_label
_atom_site_type_symbol
_atom_site_fract_x
_atom_site_fract_y
_atom_site_fract_z
Cd1 Cd 0.375 0.377 0.750
Cd2 Cd 0.127 0.625 0.250
Cd3 Cd 0.875 0.873 0.750
Cd4 Cd 0.623 0.125 0.250
Li1 Li 0.250 0.750 0.500
Li2 Li 0.500 0.500 0.000
Al1 Al 0.000 0.000 0.000
Al2 Al 0.750 0.250 0.500
# formation enthalpy at 0 K	0.44	eV per formula unit
# theoretical density	4.927	g cm⁻³
# size of the total moment	0.0	μB per formula unit



# LiAlCd2 PBE-GGA optimized geometry
data_LiAlCd2
_symmetry_space_group_name_H-M 'P 1'
_symmetry_Int_Tables_number 1
_symmetry_space_group_name_Hall 'P 1'
_cell_length_a 9.844
_cell_length_b 9.844
_cell_length_c 9.844
_cell_angle_alpha 17.84
_cell_angle_beta 17.84
_cell_angle_gamma 17.84
loop_
_atom_site_label
_atom_site_type_symbol
_atom_site_fract_x
_atom_site_fract_y
_atom_site_fract_z
Cd1 Cd 0.998 0.998 0.998
Cd2 Cd 0.502 0.502 0.502
Li1 Li 0.250 0.250 0.250
Al1 Al 0.750 0.750 0.750
# formation enthalpy at 0 K	-0.26	eV per formula unit
# theoretical density	5.494	g cm⁻³
# size of the total moment	0.0	μB per formula unit



# LiAlCd2 PBE-GGA optimized geometry
data_LiAlCd2
_symmetry_space_group_name_H-M 'P 1'
_symmetry_Int_Tables_number 1
_symmetry_space_group_name_Hall 'P 1'
_cell_length_a 3.116
_cell_length_b 4.049
_cell_length_c 6.103
_cell_angle_alpha 90.00
_cell_angle_beta 90.00
_cell_angle_gamma 90.00
loop_
_atom_site_label
_atom_site_type_symbol
_atom_site_fract_x
_atom_site_fract_y
_atom_site_fract_z
Cd1 Cd 0.000 0.000 0.006
Cd2 Cd 0.000 0.000 0.494
Al1 Al 0.500 0.500 0.750
Li1 Li 0.500 0.500 0.250
# formation enthalpy at 0 K	-0.33	eV per formula unit
# theoretical density	5.580	g cm⁻³
# size of the total moment	0.0	μB per formula unit



# LiAlCd2 PBE-GGA optimized geometry
data_LiAlCd2
_symmetry_space_group_name_H-M 'P 1'
_symmetry_Int_Tables_number 1
_symmetry_space_group_name_Hall 'P 1'
_cell_length_a 4.695
_cell_length_b 3.111
_cell_length_c 5.281
_cell_angle_alpha 90.10
_cell_angle_beta 90.00
_cell_angle_gamma 90.00
loop_
_atom_site_label
_atom_site_type_symbol
_atom_site_fract_x
_atom_site_fract_y
_atom_site_fract_z
Cd1 Cd 0.500 0.375 0.237
Cd2 Cd 0.000 0.875 0.012
Al1 Al 0.500 0.875 0.706
Li1 Li 0.000 0.375 0.545
# formation enthalpy at 0 K	-0.25	eV per formula unit
# theoretical density	5.570	g cm⁻³
# size of the total moment	0.0	μB per formula unit